1.
Material: Na2ThReO6
Method: DFT, PBE
State: relaxed

a b c (Å): 5.873 5.873 4.556
angles (deg): 90.00 90.00 90.00
Space group P4mm (No. 99)
Symmetry-distinct sites (fractional):
Na 0.000 0.500 0.000 [2 per cell]
Th 0.000 0.000 0.633 [1 per cell]
Re 0.500 0.500 0.582 [1 per cell]
O 0.000 0.000 0.142 [1 per cell]
O 0.278 0.278 0.694 [4 per cell]
O 0.500 0.500 0.201 [1 per cell]

2.
Material: NaTi2ReO8
Method: DFT, PBE
State: relaxed

a b c (Å): 4.693 6.248 4.701
angles (deg): 90.00 92.10 90.00
Space group P2/m (No. 10)
Symmetry-distinct sites (fractional):
Na 0.000 0.000 0.000 [1 per cell]
Ti 0.500 0.229 0.500 [2 per cell]
Re 0.000 0.500 0.000 [1 per cell]
O 0.208 0.290 0.206 [4 per cell]
O 0.284 0.500 0.714 [2 per cell]
O 0.322 0.000 0.676 [2 per cell]

3.
Material: NaTl3Re2O9
Method: DFT, PBE
State: relaxed

a b c (Å): 5.8444 5.8444 7.4757
angles (deg): 90.00 90.00 120.00
Space group P-3m1 (No. 164)
Symmetry-distinct sites (fractional):
Na 0.0000 0.0000 0.0000 [1 per cell]
Tl 0.0000 0.0000 0.5000 [1 per cell]
Tl 0.3333 0.6667 0.1758 [2 per cell]
Re 0.3333 0.6667 0.6645 [2 per cell]
O 0.0000 0.5000 0.5000 [3 per cell]
O 0.1817 0.3634 0.7908 [6 per cell]

| no. | formation energy (no corrections) (meV/atom) | volume (Å³ per cell) |
| --- | --- | --- |
| 1 | -2227 | 157 |
| 2 | -2258 | 138 |
| 3 | -1344 | 221 |